# Tb5NdTm PBE optimized geometry
# Formation energy from the elements = 187.1 meV per atom
# VASP energy = -4.4401 eV/atom
data_Tb5NdTm
_space_group_name_H-M_alt 'P 1'
_space_group_IT_number 1
_cell_length_a 6.778
_cell_length_b 6.778
_cell_length_c 12.220
_cell_angle_alpha 107.20
_cell_angle_beta 107.20
_cell_angle_gamma 60.07
loop_
_space_group_symop_operation_xyz
'x,y,z'
loop_
_atom_site_label
_atom_site_type_symbol
_atom_site_fract_x
_atom_site_fract_y
_atom_site_fract_z
Tb1 Tb 0.080 0.920 0.750
Tb2 Tb 0.082 0.360 0.750
Tb3 Tb 0.154 0.692 0.000
Tb4 Tb 0.308 0.846 0.500
Tb5 Tb 0.360 0.082 0.250
Tb6 Tb 0.640 0.918 0.750
Tb7 Tb 0.692 0.154 0.500
Tb8 Tb 0.846 0.308 0.000
Tb9 Tb 0.918 0.640 0.250
Tb10 Tb 0.920 0.080 0.250
Nd1 Nd 0.000 0.500 0.500
Nd2 Nd 0.500 0.000 0.000
Tm1 Tm 0.472 0.528 0.250
Tm2 Tm 0.528 0.472 0.750